Density functional theory data (PBEsol) for an optimized crystal structure of CsZnHI2. Values from VASP.

Structure (Quantum ESPRESSO input):
```
&SYSTEM
  ibrav = 0, nat = 5, ntyp = 4
/
ATOMIC_SPECIES
I 126.90 I.upf
Cs 132.91 Cs.upf
H 1.01 H.upf
Zn 65.41 Zn.upf
CELL_PARAMETERS angstrom
-3.624 3.409 1.352
-1.446 -3.075 3.878
3.693 2.571 3.416
ATOMIC_POSITIONS crystal
I 0.500 0.000 0.000
Cs 0.000 0.000 0.500
H 0.000 0.000 0.000
I 0.000 0.500 0.000
Zn 0.500 0.500 0.500
```

Properties
Magnetization = 0.00 μB per cell
E = -9.3 eV for the cell shown